P | Here is a relaxed KOsS2Cl crystal from Alexandria via LeMat-Bulk. Energies are from GGA-PBE.

a = 5.4728 Å, b = 5.4728 Å, c = 5.3156 Å
α = 90.00°, β = 90.00°, γ = 90.00°
Closest atoms and distances in Å follow each position.
Sites, in units of the cell vectors:
1 K 0.0000 0.0000 0.0000  2 Cl 2.66, 4 S 2.74
2 Os 0.5000 0.5000 0.5000  8 S 3.81, 4 Cl 3.87
3 S 0.0000 0.5000 0.0000  2 K 2.74
4 S 0.5000 0.0000 0.0000  2 K 2.74
5 Cl 0.0000 0.0000 0.5000  2 K 2.66

- DOS at the Fermi energy (states/eV/atom) = 1.824
- total magnetic moment (μB per formula unit) = 3.2

=====

Q | Here is a relaxed KOsS2Cl crystal from Alexandria via LeMat-Bulk. Energies are from GGA-PBE.

a = 4.5329 Å, b = 4.5329 Å, c = 5.7284 Å
α = 90.00°, β = 90.00°, γ = 90.00°
Closest atoms and distances in Å follow each position.
Sites, in units of the cell vectors:
1 K 0.5000 0.5000 0.5000  4 Cl 3.21
2 Os 0.0000 0.0000 0.0000  4 S 2.27
3 S 0.0000 0.5000 0.0000  2 Os 2.27
4 S 0.5000 0.0000 0.0000  2 Os 2.27
5 Cl 0.0000 0.0000 0.5000  2 Os 2.86, 4 K 3.21

- DOS at the Fermi energy (states/eV/atom) = 0.674
- total magnetic moment (μB per formula unit) = 0.0

=====

Tell me which of them is the least stable. Sure, it is P.